LaTb2Pr6: relaxed, GGA-PBE.

The structure in POSCAR format:
```
LaTb2Pr6
1.0
-1.425 1.153 -2.998
-6.162 -8.168 -0.212
-3.014 8.563 4.725
La Tb Pr
1 2 6
direct
0.000 0.000 0.000 La
0.500 0.667 0.333 Tb
0.500 0.333 0.667 Tb
0.225 0.000 0.342 Pr
0.225 0.658 0.658 Pr
0.775 0.000 0.658 Pr
0.775 0.658 0.000 Pr
0.775 0.342 0.342 Pr
0.225 0.342 0.000 Pr
```

E above lowest polymorph: 0.96 eV per formula unit
Calculated formation energy: 0.12 eV per atom
Uncorrected energy: -0.34093 Ry/atom
Space group: P-31m (162)
Magnetization: 0.3 μB per formula unit
Density of states at the Fermi level: 16.4 states/eV per cell